No. 1
{"formula": "CrNi3", "functional": "SCAN", "state": "PBEsol geometry", "lattice_angstrom": [[3.452, 0.000, 0.000], [0.000, 3.452, 0.000], [0.000, 0.000, 7.042]], "species": ["Cr", "Cr", "Ni", "Ni", "Ni", "Ni", "Ni", "Ni"], "fractional_positions": [[0.000, 0.000, 0.000], [0.500, 0.500, 0.500], [0.000, 0.000, 0.500], [0.000, 0.500, 0.250], [0.000, 0.500, 0.750], [0.500, 0.000, 0.250], [0.500, 0.000, 0.750], [0.500, 0.500, 0.000]], "sg": "I4/mmm (139)", "density_g_cm3": 9.03, "formation_energy_kj_per_mol_fu": -7}

No. 2
{"formula": "Si3RhF", "functional": "SCAN", "state": "PBEsol geometry", "lattice_angstrom": [[4.149, 0.000, 0.000], [0.000, 4.149, 0.000], [0.000, 0.000, 4.149]], "species": ["Si", "Si", "Si", "Rh", "F"], "fractional_positions": [[0.000, 0.000, 0.500], [0.000, 0.500, 0.000], [0.500, 0.000, 0.000], [0.500, 0.500, 0.500], [0.000, 0.000, 0.000]], "sg": "Pm-3m (221)", "formation_energy_uncorrected_ev_per_atom": 0.53, "density_g_cm3": 4.79}

No. 3
{"formula": "MgBeRu2", "functional": "SCAN", "state": "PBEsol geometry", "lattice_angstrom": [[2.909, 0.000, 0.000], [0.000, 4.160, 0.000], [0.000, 0.000, 8.456]], "species": ["Mg", "Mg", "Be", "Be", "Ru", "Ru", "Ru", "Ru"], "fractional_positions": [[0.000, 0.000, 0.000], [0.500, 0.500, 0.500], [0.000, 0.500, 0.244], [0.500, 0.000, 0.744], [0.000, 0.000, 0.520], [0.000, 0.500, 0.769], [0.500, 0.000, 0.269], [0.500, 0.500, 0.020]], "sg": "Imm2 (44)", "density_g_cm3": 7.64, "formation_energy_kj_per_mol_fu": 2}

No. 4
{"formula": "CsCa2Ga2", "functional": "SCAN", "state": "PBEsol geometry", "lattice_angstrom": [[5.591, 0.000, 0.000], [0.000, 5.591, 0.000], [0.000, 0.000, 12.374]], "species": ["Cs", "Cs", "Ca", "Ca", "Ca", "Ca", "Ga", "Ga", "Ga", "Ga"], "fractional_positions": [[0.000, 0.000, 0.000], [0.500, 0.500, 0.500], [0.000, 0.000, 0.336], [0.000, 0.000, 0.664], [0.500, 0.500, 0.164], [0.500, 0.500, 0.836], [0.000, 0.500, 0.250], [0.000, 0.500, 0.750], [0.500, 0.000, 0.250], [0.500, 0.000, 0.750]], "de_polymorph_kj_per_mol_fu": 108.2, "sg": "I4/mmm (139)", "density_g_cm3": 3.03, "formation_energy_kj_per_mol_fu": 31}

No. 5
{"formula": "Nb2SiIrOs", "functional": "SCAN", "state": "PBEsol geometry", "lattice_angstrom": [[4.511, 0.000, 0.000], [0.000, 4.511, 0.000], [0.000, 0.000, 4.277]], "species": ["Nb", "Nb", "Si", "Ir", "Os"], "fractional_positions": [[0.000, 0.500, 0.000], [0.500, 0.000, 0.000], [0.000, 0.000, 0.000], [0.500, 0.500, 0.500], [0.000, 0.000, 0.500]], "sg": "P4/mmm (123)", "formation_energy_uncorrected_ev_per_atom": 0.81, "density_g_cm3": 11.38}

No. 6
{"formula": "BaTaSn3", "functional": "SCAN", "state": "PBEsol geometry", "lattice_angstrom": [[5.760, 0.000, 0.000], [0.000, 5.760, 0.000], [0.000, 0.000, 5.760]], "species": ["Ba", "Ta", "Sn", "Sn", "Sn"], "fractional_positions": [[0.000, 0.000, 0.000], [0.500, 0.500, 0.500], [0.000, 0.000, 0.500], [0.000, 0.500, 0.000], [0.500, 0.000, 0.000]], "de_polymorph_kj_per_mol_fu": 1142.8, "sg": "Pm-3m (221)", "density_g_cm3": 5.86, "formation_energy_kj_per_mol_fu": 1024}

No. 7
{"formula": "InCuHg2", "functional": "SCAN", "state": "PBEsol geometry", "lattice_angstrom": [[3.065, 0.000, 0.000], [0.000, 3.218, 0.000], [0.000, 0.000, 8.117]], "species": ["In", "Cu", "Hg", "Hg"], "fractional_positions": [[0.000, 0.000, 0.000], [0.000, 0.000, 0.500], [0.500, 0.500, 0.297], [0.500, 0.500, 0.703]], "sg": "Pmmm (47)", "density_g_cm3": 12.02, "formation_energy_kj_per_mol_fu": 61}

No. 8
{"formula": "LiTl2As", "functional": "SCAN", "state": "PBEsol geometry", "lattice_angstrom": [[3.555, 0.000, 0.000], [0.000, 3.902, 0.000], [0.000, 0.000, 6.657]], "species": ["Li", "Tl", "Tl", "As"], "fractional_positions": [[0.000, 0.000, 0.000], [0.500, 0.500, 0.259], [0.500, 0.500, 0.741], [0.000, 0.000, 0.500]], "de_polymorph_kj_per_mol_fu": 75.4, "sg": "Pmmm (47)", "density_g_cm3": 8.82, "formation_energy_kj_per_mol_fu": -22}

No. 9
{"formula": "ReAs3I", "functional": "SCAN", "state": "PBEsol geometry", "lattice_angstrom": [[4.828, 0.000, 0.000], [0.000, 4.828, 0.000], [0.000, 0.000, 4.828]], "species": ["Re", "As", "As", "As", "I"], "fractional_positions": [[0.000, 0.000, 0.000], [0.000, 0.000, 0.500], [0.000, 0.500, 0.000], [0.500, 0.000, 0.000], [0.500, 0.500, 0.500]], "sg": "Pm-3m (221)", "formation_energy_uncorrected_ev_per_atom": 0.52, "density_g_cm3": 7.94}

No. 10
{"formula": "NiHgRh2", "functional": "SCAN", "state": "PBEsol geometry", "lattice_angstrom": [[3.847, 0.000, 0.000], [0.000, 3.847, 0.000], [0.000, 0.000, 7.749]], "species": ["Ni", "Ni", "Hg", "Hg", "Rh", "Rh", "Rh", "Rh"], "fractional_positions": [[0.000, 0.000, 0.000], [0.500, 0.500, 0.500], [0.000, 0.000, 0.500], [0.500, 0.500, 0.000], [0.000, 0.500, 0.250], [0.000, 0.500, 0.750], [0.500, 0.000, 0.250], [0.500, 0.000, 0.750]], "sg": "I4/mmm (139)", "density_g_cm3": 13.47, "formation_energy_kj_per_mol_fu": 87}

No. 11
{"formula": "TaNi2AuI", "functional": "SCAN", "state": "PBEsol geometry", "lattice_angstrom": [[4.612, 0.000, 0.000], [0.000, 4.612, 0.000], [0.000, 0.000, 5.104]], "species": ["Ta", "Ni", "Ni", "Au", "I"], "fractional_positions": [[0.000, 0.000, 0.000], [0.000, 0.500, 0.000], [0.500, 0.000, 0.000], [0.000, 0.000, 0.500], [0.500, 0.500, 0.500]], "sg": "P4/mmm (123)", "formation_energy_uncorrected_ev_per_atom": 1.32, "density_g_cm3": 9.52}

No. 12
{"formula": "RbAl2Ni", "functional": "SCAN", "state": "PBEsol geometry", "lattice_angstrom": [[6.781, 0.000, 0.000], [0.000, 6.781, 0.000], [0.000, 0.000, 6.781]], "species": ["Rb", "Rb", "Rb", "Rb", "Al", "Al", "Al", "Al", "Al", "Al", "Al", "Al", "Ni", "Ni", "Ni", "Ni"], "fractional_positions": [[0.000, 0.000, 0.000], [0.000, 0.500, 0.500], [0.500, 0.000, 0.500], [0.500, 0.500, 0.000], [0.250, 0.250, 0.250], [0.250, 0.250, 0.750], [0.250, 0.750, 0.250], [0.250, 0.750, 0.750], [0.750, 0.250, 0.250], [0.750, 0.250, 0.750], [0.750, 0.750, 0.250], [0.750, 0.750, 0.750], [0.000, 0.000, 0.500], [0.000, 0.500, 0.000], [0.500, 0.000, 0.000], [0.500, 0.500, 0.500]], "sg": "Fm-3m (225)", "density_g_cm3": 4.22, "formation_energy_kj_per_mol_fu": 330}